# 1
The following is a meta-GGA SCAN calculation of a PBEsol-optimized structure of Ca3ReN, from the Alexandria database. Values from VASP.

Properties
For the formation energy (no corrections), the calculation gives 1.530 eV per atom.

Cell and atoms, written as Quantum ESPRESSO input:
```
&SYSTEM
  ibrav = 0, nat = 5, ntyp = 3
/
ATOMIC_SPECIES
N 14.01 N.upf
Ca 40.08 Ca.upf
Re 186.21 Re.upf
ATOMIC_POSITIONS crystal
N 0.500 0.500 0.500
Ca 0.500 0.000 0.000
Re 0.000 0.000 0.000
Ca 0.000 0.500 0.000
Ca 0.000 0.000 0.500
CELL_PARAMETERS angstrom
5.284 0.000 0.000
0.000 5.284 0.000
0.000 0.000 5.284
```

# 2
The following is a meta-GGA SCAN calculation of a PBEsol-optimized structure of LiGa3Se, from the Alexandria database. Values from VASP.

Properties
For the formation energy (no corrections), the calculation gives 0.234 eV per atom.

Cell and atoms, written as Quantum ESPRESSO input:
```
&SYSTEM
  ibrav = 0, nat = 5, ntyp = 3
/
ATOMIC_SPECIES
Se 78.96 Se.upf
Li 6.94 Li.upf
Ga 69.72 Ga.upf
ATOMIC_POSITIONS crystal
Se 0.500 0.500 0.500
Li 0.000 0.000 0.000
Ga 0.000 0.000 0.500
Ga 0.500 0.000 0.000
Ga 0.000 0.500 0.000
CELL_PARAMETERS angstrom
-1.964 -2.949 2.958
-0.790 -2.948 -3.463
4.102 -1.979 0.749
```

# 3
The following is a meta-GGA SCAN calculation of a PBEsol-optimized structure of TaAs, from the Alexandria database. Values from VASP.

Properties
The calculation puts the energy of formation from the pure elements at -571 meV/atom.

Cell and atoms, written as Quantum ESPRESSO input:
```
&SYSTEM
  ibrav = 0, nat = 4, ntyp = 2
/
ATOMIC_SPECIES
As 74.92 As.upf
Ta 180.95 Ta.upf
ATOMIC_POSITIONS crystal
As 0.332 0.832 0.664
Ta 0.500 0.500 0.000
As 0.082 0.082 0.164
Ta 0.750 0.250 0.500
CELL_PARAMETERS angstrom
-2.142 -0.964 -2.500
2.638 -1.321 -1.751
-1.044 -3.954 4.771
```

One value per record, in order, for N(E_F): 0.649, 0.477, 0.082 states/eV/atom.